# 1
First-principles (PBE-GGA) data for crystalline Na6LiPb at its relaxed geometry, as listed in the Alexandria database.

```
data_Na6LiPb
_cell_length_a 6.2927
_cell_length_b 6.2957
_cell_length_c 6.3045
_cell_angle_alpha 89.48
_cell_angle_beta 89.58
_cell_angle_gamma 89.54
_symmetry_space_group_name_H-M 'P -1'
_symmetry_Int_Tables_number 2
loop_
_symmetry_equiv_pos_as_xyz
'x,y,z'
'-x,-y,-z'
loop_
_atom_site_label
_atom_site_fract_x
_atom_site_fract_y
_atom_site_fract_z
Na1 0.9997 0.0004 0.2432
Na2 0.2565 0.5016 0.9995
Na3 0.5000 0.2435 0.4990
Li1 0.0000 0.5000 0.5000
Pb1 0.5000 0.0000 0.0000
```

Values from the calculation:
For the spin magnetization, the calculation gives 0.00 μB/cell. The energy relative to the elements is -0.49 kcal/mol of atoms. The density of states at the Fermi level comes out at 3.792 states/eV/f.u. The calculation puts the total DFT energy (no corrections) at -13.7 eV/cell.

***

# 2
First-principles (PBE-GGA) data for crystalline NaLiPb at its relaxed geometry, as listed in the Alexandria database.

```
data_NaLiPb
_cell_length_a 3.7427
_cell_length_b 3.7427
_cell_length_c 10.8057
_cell_angle_alpha 90.00
_cell_angle_beta 90.00
_cell_angle_gamma 90.00
_symmetry_space_group_name_H-M 'I 4 m m'
_symmetry_Int_Tables_number 107
_symmetry_space_group_name_Hall 'I 4 -2'
loop_
_atom_site_label
_atom_site_fract_x
_atom_site_fract_y
_atom_site_fract_z
Na1 0.0000 0.0000 0.0000
Li1 0.0000 0.0000 0.3162
Pb1 0.0000 0.0000 0.6853
```

Values from the calculation:
For the spin magnetization, the calculation gives 0.00 μB/cell. The energy relative to the elements is -4.38 kcal/mol of atoms. The density of states at the Fermi level comes out at 0.610 states/eV/f.u. The calculation puts the total DFT energy (no corrections) at -15.0 eV/cell.

***

# 3
First-principles (PBE-GGA) data for crystalline Na5LiPb2 at its relaxed geometry, as listed in the Alexandria database.

```
data_Na5LiPb2
_cell_length_a 6.6930
_cell_length_b 13.0031
_cell_length_c 5.2091
_cell_angle_alpha 90.00
_cell_angle_beta 90.00
_cell_angle_gamma 90.00
_symmetry_space_group_name_H-M 'P b a m'
_symmetry_Int_Tables_number 55
loop_
_symmetry_equiv_pos_as_xyz
'x,y,z'
'-x,-y,-z'
'-x,-y,z'
'x,y,-z'
'x+1/2,-y+1/2,-z'
'-x+1/2,y+1/2,z'
'-x+1/2,y+1/2,-z'
'x+1/2,-y+1/2,z'
loop_
_atom_site_label
_atom_site_fract_x
_atom_site_fract_y
_atom_site_fract_z
Na1 0.0000 0.0000 0.0000
Na2 0.1150 0.2523 0.0000
Na3 0.1591 0.8652 0.5000
Li1 0.0000 0.5000 0.0000
Pb1 0.1522 0.6029 0.5000
```

Values from the calculation:
For the spin magnetization, the calculation gives 0.00 μB/cell. The energy relative to the elements is -2.62 kcal/mol of atoms. The density of states at the Fermi level comes out at 3.337 states/eV/f.u. The calculation puts the total DFT energy (no corrections) at -33.7 eV/cell.

***

# 4
First-principles (PBE-GGA) data for crystalline Na2Li3Pb3 at its relaxed geometry, as listed in the Alexandria database.

```
data_Na2Li3Pb3
_cell_length_a 3.9531
_cell_length_b 4.8701
_cell_length_c 20.0991
_cell_angle_alpha 90.00
_cell_angle_beta 90.00
_cell_angle_gamma 90.00
_symmetry_space_group_name_H-M 'I m m m'
_symmetry_Int_Tables_number 71
_symmetry_space_group_name_Hall '-I 2 2'
loop_
_atom_site_label
_atom_site_fract_x
_atom_site_fract_y
_atom_site_fract_z
Na1 0.0000 0.0000 0.2411
Li1 0.0000 0.0000 0.5000
Li2 0.0000 0.5000 0.3901
Pb1 0.0000 0.0000 0.0000
Pb2 0.0000 0.5000 0.1234
```

Values from the calculation:
For the spin magnetization, the calculation gives 0.00 μB/cell. The energy relative to the elements is -4.54 kcal/mol of atoms. The density of states at the Fermi level comes out at 2.564 states/eV/f.u. The calculation puts the total DFT energy (no corrections) at -42.2 eV/cell.